Compound: RbTi2H
Source: Alexandria via LeMat-Bulk
Functional: PBE
Structure: optimized geometry

Output
- SG: Fd-3m, No. 227
- Total DFT energy (no corrections): -4.33 eV/atom

Cell lengths 6.297, 6.297, 6.297 Å; angles 60.00, 60.00, 60.00 degrees
Element x y z (fractional)
Rb (0.125, 0.125, 0.125)
Rb (0.875, 0.875, 0.875)
Ti (0.000, 0.500, 0.500)
Ti (0.500, 0.000, 0.500)
Ti (0.500, 0.500, 0.000)
Ti (0.500, 0.500, 0.500)
H (0.375, 0.375, 0.375)
H (0.625, 0.625, 0.625)

Compound: K2SiW
Source: Alexandria via LeMat-Bulk
Functional: PBE
Structure: optimized geometry

Output
- SG: I4/mmm, No. 139
- Formation energy (no corrections): 1.22 eV per atom

Cell lengths 6.466, 6.466, 6.466 Å; angles 145.34, 145.34, 49.82 degrees
Element x y z (fractional)
K (0.250, 0.750, 0.500)
K (0.750, 0.250, 0.500)
Si (0.000, 0.000, 0.000)
W (0.500, 0.500, 0.000)

Compound: Er2Sc7Al2
Source: Alexandria via LeMat-Bulk
Functional: PBE
Structure: optimized geometry

Output
- SG: C2/m, No. 12
- Formation enthalpy at 0 K: -0.116 eV/atom

Cell lengths 6.020, 6.020, 7.734 Å; angles 101.37, 101.37, 97.41 degrees
Element x y z (fractional)
Er (0.184, 0.816, 0.000)
Er (0.816, 0.184, 0.000)
Sc (0.021, 0.378, 0.669)
Sc (0.353, 0.353, 0.082)
Sc (0.378, 0.021, 0.669)
Sc (0.500, 0.500, 0.500)
Sc (0.622, 0.979, 0.331)
Sc (0.647, 0.647, 0.918)
Sc (0.979, 0.622, 0.331)
Al (0.128, 0.128, 0.340)
Al (0.872, 0.872, 0.660)

Compound: Cs3Na3Tl8
Source: Alexandria via LeMat-Bulk
Functional: PBE
Structure: optimized geometry

Output
- SG: Immm, No. 71
- Formation enthalpy at 0 K: -0.073 eV/atom

Cell lengths 10.562, 10.562, 10.562 Å; angles 150.55, 102.83, 84.68 degrees
Element x y z (fractional)
Cs (0.000, 0.000, 0.000)
Cs (0.298, 0.298, 0.000)
Cs (0.702, 0.702, 0.000)
Na (0.278, 0.500, 0.778)
Na (0.500, 0.000, 0.500)
Na (0.722, 0.500, 0.222)
Tl (0.025, 0.689, 0.336)
Tl (0.161, 0.883, 0.278)
Tl (0.353, 0.689, 0.664)
Tl (0.394, 0.117, 0.278)
Tl (0.606, 0.883, 0.722)
Tl (0.647, 0.311, 0.336)
Tl (0.839, 0.117, 0.722)
Tl (0.975, 0.311, 0.664)

Compound: Ni2PtBr
Source: Alexandria via LeMat-Bulk
Functional: PBE
Structure: optimized geometry

Output
- SG: Immm, No. 71
- Formation energy (no corrections): 0.62 eV per atom

Cell lengths 5.052, 5.052, 5.052 Å; angles 145.88, 124.27, 66.98 degrees
Element x y z (fractional)
Ni (0.239, 0.239, 0.000)
Ni (0.761, 0.761, 0.000)
Pt (0.500, 0.000, 0.500)
Br (0.000, 0.500, 0.500)

Compound: KSr
Source: Alexandria via LeMat-Bulk
Functional: PBE
Structure: optimized geometry

Output
- SG: I-43m, No. 217
- Formation enthalpy at 0 K: 0.518 eV/atom

Cell lengths 11.471, 11.471, 11.471 Å; angles 109.47, 109.47, 109.47 degrees
Element x y z (fractional)
K (0.000, 0.000, 0.596)
K (0.000, 0.596, 0.000)
K (0.404, 0.404, 0.404)
K (0.596, 0.000, 0.000)
Sr (0.000, 0.000, 0.219)
Sr (0.000, 0.219, 0.000)
Sr (0.219, 0.000, 0.000)
Sr (0.781, 0.781, 0.781)

Compound: AgI5
Source: Alexandria via LeMat-Bulk
Functional: PBE
Structure: optimized geometry

Output
- SG: Cmmm, No. 65
- Formation energy (no corrections): 0.11 eV per atom

Cell lengths 13.588, 13.588, 4.453 Å; angles 90.00, 90.00, 160.94 degrees
Element x y z (fractional)
Ag (0.000, 0.000, 0.000)
I (0.167, 0.833, 0.500)
I (0.333, 0.667, 0.000)
I (0.500, 0.500, 0.500)
I (0.667, 0.333, 0.000)
I (0.833, 0.167, 0.500)

Compound: MgIn3B
Source: Alexandria via LeMat-Bulk
Functional: PBE
Structure: optimized geometry

Output
- SG: Pm-3m, No. 221
- Formation enthalpy at 0 K: 1.306 eV/atom

Cell lengths 5.408, 5.408, 5.408 Å; angles 90.00, 90.00, 90.00 degrees
Element x y z (fractional)
Mg (0.000, 0.000, 0.000)
In (0.000, 0.000, 0.500)
In (0.000, 0.500, 0.000)
In (0.500, 0.000, 0.000)
B (0.500, 0.500, 0.500)

Compound: RbAc2F6
Source: Alexandria via LeMat-Bulk
Functional: PBE
Structure: optimized geometry

Output
- SG: I4/mmm, No. 139
- Formation energy (no corrections): -3.63 eV per atom

Cell lengths 10.308, 10.308, 10.308 Å; angles 155.34, 155.34, 35.16 degrees
Element x y z (fractional)
Rb (0.000, 0.000, 0.000)
Ac (0.335, 0.335, 0.000)
Ac (0.665, 0.665, 0.000)
F (0.111, 0.611, 0.500)
F (0.250, 0.750, 0.500)
F (0.389, 0.889, 0.500)
F (0.611, 0.111, 0.500)
F (0.750, 0.250, 0.500)
F (0.889, 0.389, 0.500)

Compound: V3H5S
Source: Alexandria via LeMat-Bulk
Functional: PBE
Structure: optimized geometry

Output
- SG: C2/m, No. 12
- Total DFT energy (no corrections): -5.43 eV/atom

Cell lengths 5.897, 5.897, 7.637 Å; angles 126.05, 126.05, 53.72 degrees
Element x y z (fractional)
V (0.000, 0.000, 0.000)
V (0.000, 0.000, 0.500)
V (0.337, 0.337, 0.481)
V (0.342, 0.342, 0.840)
V (0.658, 0.658, 0.160)
V (0.663, 0.663, 0.519)
H (0.029, 0.652, 0.757)
H (0.189, 0.189, 0.532)
H (0.332, 0.668, 0.500)
H (0.348, 0.971, 0.243)
H (0.497, 0.497, 0.174)
H (0.503, 0.503, 0.826)
H (0.652, 0.029, 0.757)
H (0.668, 0.332, 0.500)
H (0.811, 0.811, 0.468)
H (0.971, 0.348, 0.243)
S (0.154, 0.154, 0.890)
S (0.846, 0.846, 0.110)

Compound: Th2Pb2S7
Source: Alexandria via LeMat-Bulk
Functional: PBE
Structure: optimized geometry

Output
- SG: Imm2, No. 44
- Formation energy (no corrections): -1.11 eV per atom

Cell lengths 8.755, 8.755, 8.755 Å; angles 152.75, 67.48, 119.61 degrees
Element x y z (fractional)
Th (0.236, 0.000, 0.236)
Th (0.764, 0.000, 0.764)
Pb (0.266, 0.766, 0.500)
Pb (0.739, 0.739, 0.000)
S (0.014, 0.700, 0.313)
S (0.057, 0.057, 0.000)
S (0.356, 0.483, 0.873)
S (0.387, 0.700, 0.687)
S (0.610, 0.483, 0.127)
S (0.653, 0.303, 0.350)
S (0.953, 0.303, 0.650)

Compound: HfTiIr
Source: Alexandria via LeMat-Bulk
Functional: PBE
Structure: optimized geometry

Output
- SG: P1, No. 1
- Formation enthalpy at 0 K: -0.400 eV/atom

Cell lengths 3.011, 4.599, 7.707 Å; angles 81.25, 88.85, 85.43 degrees
Element x y z (fractional)
Hf (0.000, 0.000, 0.000)
Hf (0.408, 0.555, 0.760)
Ti (0.424, 0.017, 0.335)
Ti (0.878, 0.076, 0.626)
Ir (0.001, 0.545, 0.432)
Ir (0.590, 0.488, 0.113)